{
  "formula": "BaSnBr4",
  "functional": "PBE",
  "state": "optimized geometry",
  "e_tot_ev_per_atom": -3.5419,
  "crystal_system": "monoclinic",
  "raw_formation_energy_kj_per_mol_atoms": -138.85,
  "space_group": "No. 15",
  "lattice_angstrom": [[6.7804, 0.0010, 3.3457], [-1.2397, 7.0321, 2.5098], [-0.3098, 0.4610, 9.1711]],
  "species": ["Ba", "Ba", "Sn", "Sn", "Br", "Br", "Br", "Br", "Br", "Br", "Br", "Br"],
  "fractional_positions": [[0.2480, 0.7500, 0.0000], [0.7520, 0.2500, 0.0000], [0.0000, 0.0000, 0.5000], [0.5000, 0.5000, 0.5000], [0.3563, 0.8965, 0.2570], [0.6134, 0.6036, 0.7429], [0.6437, 0.1035, 0.7430], [0.3866, 0.3964, 0.2571], [0.8494, 0.8584, 0.2667], [0.1162, 0.6416, 0.7332], [0.1506, 0.1416, 0.7333], [0.8838, 0.3584, 0.2668]]
}

{
  "formula": "ZnIn2Si",
  "functional": "PBE",
  "state": "optimized geometry",
  "e_tot_ev_per_atom": -2.7575,
  "crystal_system": "monoclinic",
  "raw_formation_energy_kj_per_mol_atoms": 27.59,
  "space_group": "No. 12",
  "polymorph_energy_ev_per_atom": 0.105,
  "lattice_angstrom": [[5.1354, 0.1925, -0.0522], [-0.9214, 5.0557, -0.0522], [0.1852, 0.2306, 3.2503]],
  "species": ["In", "In", "Si", "Zn"],
  "fractional_positions": [[0.0000, 0.0000, 0.0000], [0.5000, 0.5000, 0.0000], [0.5000, 0.0000, 0.5000], [0.0000, 0.5000, 0.5000]]
}

{
  "formula": "La6Tm",
  "functional": "PBE",
  "state": "optimized geometry",
  "e_tot_ev_per_atom": -3.9077,
  "crystal_system": "cubic",
  "space_group": "No. 229",
  "formation_energy_ev_per_atom": 0.95,
  "lattice_angstrom": [[7.0823, 0.0000, 0.0000], [-2.3608, 6.6772, 0.0000], [-2.3608, -3.3386, 5.7826]],
  "species": ["La", "La", "La", "La", "La", "La", "Tm"],
  "fractional_positions": [[0.2500, 0.7500, 0.5000], [0.5000, 0.7500, 0.2500], [0.2500, 0.5000, 0.7500], [0.7500, 0.2500, 0.5000], [0.5000, 0.2500, 0.7500], [0.7500, 0.5000, 0.2500], [0.0000, 0.0000, 0.0000]]
}

{
  "formula": "La2Sc3Sn4",
  "functional": "PBE",
  "state": "optimized geometry",
  "e_tot_ev_per_atom": -5.6792,
  "crystal_system": "orthorhombic",
  "space_group": "No. 64",
  "formation_energy_ev_per_atom": -0.69,
  "polymorph_energy_ev_per_atom": 0.087,
  "lattice_angstrom": [[6.7485, 0.0000, 0.0000], [0.0000, 8.6938, 0.0000], [-3.3742, 0.0000, 8.4349]],
  "species": ["La", "La", "La", "La", "Sc", "Sc", "Sc", "Sc", "Sc", "Sc", "Sn", "Sn", "Sn", "Sn", "Sn", "Sn", "Sn", "Sn"],
  "fractional_positions": [[0.1126, 0.5873, 0.2253], [0.8874, 0.4127, 0.7747], [0.3874, 0.0873, 0.7747], [0.6126, 0.9127, 0.2253], [0.0000, 0.0000, 0.0000], [0.5000, 0.5000, 0.0000], [0.5395, 0.7500, 0.5789], [0.9605, 0.2500, 0.4211], [0.4605, 0.2500, 0.4211], [0.0395, 0.7500, 0.5789], [0.7116, 0.7500, 0.9232], [0.7884, 0.2500, 0.0768], [0.2884, 0.2500, 0.0768], [0.2116, 0.7500, 0.9232], [0.1869, 0.9495, 0.3738], [0.8131, 0.0505, 0.6262], [0.3131, 0.4495, 0.6262], [0.6869, 0.5505, 0.3738]]
}

{
  "formula": "BeZn2Rh",
  "functional": "PBE",
  "state": "optimized geometry",
  "e_tot_ev_per_atom": -3.5373,
  "crystal_system": "monoclinic",
  "space_group": "No. 12",
  "formation_energy_ev_per_atom": -0.13,
  "polymorph_energy_ev_per_atom": 0.158,
  "lattice_angstrom": [[5.0011, -0.0204, 0.0487], [-2.5261, 4.3163, 0.0487], [0.6225, 1.0804, 2.4321]],
  "species": ["Be", "Zn", "Zn", "Rh"],
  "fractional_positions": [[0.5000, 0.0000, 0.5000], [0.0000, 0.0000, 0.0000], [0.5000, 0.5000, 0.0000], [0.0000, 0.5000, 0.5000]]
}

{
  "formula": "SrRe2P",
  "functional": "PBE",
  "state": "optimized geometry",
  "e_tot_ev_per_atom": -7.3620,
  "crystal_system": "trigonal",
  "space_group": "No. 166",
  "formation_energy_ev_per_atom": 0.63,
  "lattice_angstrom": [[-5.3789, 1.0064, 7.0135], [-3.6085, -1.2931, 8.0275], [-2.6692, 1.6183, 8.3301]],
  "species": ["Sr", "Re", "Re", "P"],
  "fractional_positions": [[0.5000, 0.5000, 0.5000], [0.7300, 0.7300, 0.7300], [0.2700, 0.2700, 0.2700], [0.0000, 0.0000, 0.0000]]
}